4
Lattice="1.689 0.975 6.832 -1.689 0.975 6.832 0.000 -1.951 6.832" Properties=species:S:1:pos:R:3 comment="ZrBiN2 GGA-PBE relaxed" space_group="R-3m (166)" dos_ef_per_ev_cell=1.30 energy_ev_per_atom=-7.76 pbc="T T T"
Zr 0.000 0.000 0.000
Bi 0.000 0.000 10.248
N 0.000 0.000 7.927
N 0.000 0.000 12.569